(1)
Density functional theory data (GGA-PBEsol) for a geometry-optimized RbBeCl3 structure.

## Properties
* calculated total energy: -1.880 eV/atom
* ΔE_f (raw): 31.79 kJ/mol of atoms

The structure in extended XYZ format:
```
5
Lattice="5.8576 0.0000 0.0000 0.0000 5.8576 0.0000 0.0000 0.0000 5.8576" Properties=species:S:1:pos:R:3 pbc="T T T"
Rb 0.0000 0.0000 0.0000
Be 2.9288 2.9288 2.9288
Cl 0.0000 0.0000 2.9288
Cl 0.0000 2.9288 0.0000
Cl 2.9288 0.0000 0.0000
```

***

(2)
Density functional theory data (GGA-PBEsol) for a geometry-optimized Rb2BeSbCl structure.

## Properties
* calculated total energy: -2.152 eV/atom
* ΔE_f (raw): 35.80 kJ/mol of atoms

The structure in extended XYZ format:
```
5
Lattice="7.0169 0.0000 0.0000 0.0000 7.0169 0.0000 0.0000 0.0000 5.3899" Properties=species:S:1:pos:R:3 pbc="T T T"
Rb 0.0000 3.5084 0.0000
Rb 3.5084 0.0000 0.0000
Be 0.0000 0.0000 2.6950
Sb 3.5084 3.5084 0.0000
Cl 3.5084 3.5084 2.6950
```

***

(3)
Density functional theory data (GGA-PBEsol) for a geometry-optimized RbBe2SeCl structure.

## Properties
* calculated total energy: -2.988 eV/atom
* ΔE_f (raw): -1.14 kJ/mol of atoms

The structure in extended XYZ format:
```
5
Lattice="4.3894 0.0000 0.0000 0.0000 4.3894 0.0000 0.0000 0.0000 7.9448" Properties=species:S:1:pos:R:3 pbc="T T T"
Rb 0.0000 0.0000 0.0000
Be 0.0000 2.1947 3.9724
Be 2.1947 0.0000 3.9724
Se 2.1947 2.1947 3.9724
Cl 2.1947 2.1947 0.0000
```

***

(4)
Density functional theory data (GGA-PBEsol) for a geometry-optimized BeRe2Cl structure.

## Properties
* calculated total energy: -7.225 eV/atom
* ΔE_f (raw): 91.00 kJ/mol of atoms
* relative energy among the computed polymorphs: 11 kJ/mol of formula units

The structure in extended XYZ format:
```
4
Lattice="-1.9594 1.9594 3.5393 1.9594 -1.9594 3.5393 1.9594 1.9594 -3.5393" Properties=species:S:1:pos:R:3 pbc="T T T"
Be 0.0000 0.0000 0.0000
Re 0.0000 0.0000 3.5393
Re 0.0000 1.9594 1.7696
Cl 1.9594 0.0000 1.7696
```

***

(5)
Density functional theory data (GGA-PBEsol) for a geometry-optimized BeRe2Cl structure.

## Properties
* calculated total energy: -7.253 eV/atom
* ΔE_f (raw): 88.28 kJ/mol of atoms
* relative energy among the computed polymorphs: 0 kJ/mol of formula units

The structure in extended XYZ format:
```
4
Lattice="2.5753 -4.4557 0.0000 2.5753 4.4557 0.0000 -1.6505 0.0000 2.4729" Properties=species:S:1:pos:R:3 pbc="T T T"
Be 0.0000 0.0000 0.0000
Re 0.4624 2.2279 1.2364
Re 0.4624 -2.2279 1.2364
Cl 2.5753 0.0000 0.0000
```

***

(6)
Density functional theory data (GGA-PBEsol) for a geometry-optimized Be3ReCl structure.

## Properties
* calculated total energy: -4.037 eV/atom
* ΔE_f (raw): 138.04 kJ/mol of atoms

The structure in extended XYZ format:
```
5
Lattice="4.3267 0.0000 0.0000 0.0000 4.3267 0.0000 0.0000 0.0000 4.3267" Properties=species:S:1:pos:R:3 pbc="T T T"
Be 0.0000 0.0000 2.1634
Be 0.0000 2.1634 0.0000
Be 2.1634 0.0000 0.0000
Re 0.0000 0.0000 0.0000
Cl 2.1634 2.1634 2.1634
```

***

(7)
Density functional theory data (GGA-PBEsol) for a geometry-optimized BeRhCl structure.

## Properties
* calculated total energy: -4.685 eV/atom
* ΔE_f (raw): 2.97 kJ/mol of atoms

The structure in extended XYZ format:
```
3
Lattice="-1.5042 1.5042 4.4179 1.5042 -1.5042 4.4179 1.5042 1.5042 -4.4179" Properties=species:S:1:pos:R:3 pbc="T T T"
Be 0.0000 0.0000 0.0000
Rh 0.0000 0.0000 3.5853
Cl 0.0000 0.0000 5.9916
```

***

(8)
Density functional theory data (GGA-PBEsol) for a geometry-optimized Be2RhCl structure.

## Properties
* calculated total energy: -4.276 eV/atom
* ΔE_f (raw): 25.15 kJ/mol of atoms

The structure in extended XYZ format:
```
4
Lattice="-1.5612 1.5612 5.2902 1.5612 -1.5612 5.2902 1.5612 1.5612 -5.2902" Properties=species:S:1:pos:R:3 pbc="T T T"
Be 0.0000 0.0000 0.0000
Be 0.0000 1.5612 2.6451
Rh 1.5612 0.0000 2.6451
Cl 0.0000 0.0000 5.2902
```